# YAs2PbO8 (PBE, optimized geometry)
data_YAs2PbO8
_chemical_formula_sum 'Y1 As2 Pb1 O8'
_cell_length_a 5.6901
_cell_length_b 5.6901
_cell_length_c 7.3746
_cell_angle_alpha 90.00
_cell_angle_beta 90.00
_cell_angle_gamma 120.00
_symmetry_space_group_name_H-M 'P -3'
_symmetry_Int_Tables_number 147
loop_
_symmetry_equiv_pos_as_xyz
'x,y,z'
'-x,-y,-z'
'-y,x-y,z'
'y,-x+y,-z'
'-x+y,-x,z'
'x-y,x,-z'
loop_
_atom_site_label
_atom_site_fract_x
_atom_site_fract_y
_atom_site_fract_z
_atom_site_occupancy
Y1 0.0000 0.0000 0.0000 1
As1 0.3333 0.6667 0.2787 1
Pb1 0.0000 0.0000 0.5000 1
O1 0.1650 0.3367 0.2056 1
O2 0.3333 0.6667 0.5119 1
# **Formation energy (no corrections)**: -1.61 eV/atom



# YAsPb2O6 (PBE, optimized geometry)
data_YAsPb2O6
_chemical_formula_sum 'Y6 As6 Pb12 O36'
_cell_length_a 5.7512
_cell_length_b 5.7512
_cell_length_c 31.9526
_cell_angle_alpha 90.00
_cell_angle_beta 90.00
_cell_angle_gamma 120.00
_symmetry_space_group_name_H-M 'R -3 m'
_symmetry_Int_Tables_number 166
_symmetry_space_group_name_Hall '-R 3 2"'
loop_
_atom_site_label
_atom_site_fract_x
_atom_site_fract_y
_atom_site_fract_z
_atom_site_occupancy
Y1 0.0000 0.0000 0.0895 1
As1 0.0000 0.0000 0.0000 1
As2 0.0000 0.0000 0.5000 1
Pb1 0.0000 0.0000 0.1938 1
Pb2 0.0000 0.0000 0.3498 1
O1 0.0173 0.5086 0.1991 1
O2 0.0297 0.5148 0.6317 1
# **Formation energy (no corrections)**: -1.71 eV/atom



# YAs2Pb2O6 (PBE, optimized geometry)
data_YAs2Pb2O6
_chemical_formula_sum 'Y2 As4 Pb4 O12'
_cell_length_a 11.260
_cell_length_b 6.079
_cell_length_c 6.941
_cell_angle_alpha 90.00
_cell_angle_beta 127.85
_cell_angle_gamma 90.00
_symmetry_space_group_name_H-M 'C 1 2/m 1'
_symmetry_Int_Tables_number 12
loop_
_symmetry_equiv_pos_as_xyz
'x,y,z'
'-x,-y,-z'
'-x,y,-z'
'x,-y,z'
'x+1/2,y+1/2,z'
'-x+1/2,-y+1/2,-z'
'-x+1/2,y+1/2,-z'
'x+1/2,-y+1/2,z'
loop_
_atom_site_label
_atom_site_fract_x
_atom_site_fract_y
_atom_site_fract_z
_atom_site_occupancy
Y1 0.000 0.000 0.000 1
As1 0.062 0.500 0.732 1
Pb1 0.236 0.000 0.653 1
O1 0.070 0.252 0.303 1
O2 0.244 0.000 0.167 1
# **Formation energy (no corrections)**: -1.42 eV/atom



# Zn2AsPbO6 (PBE, optimized geometry)
data_Zn2AsPbO6
_chemical_formula_sum 'Zn8 As4 Pb4 O24'
_cell_length_a 11.586
_cell_length_b 8.785
_cell_length_c 6.847
_cell_angle_alpha 90.00
_cell_angle_beta 116.95
_cell_angle_gamma 90.00
_symmetry_space_group_name_H-M 'C 1 2/c 1'
_symmetry_Int_Tables_number 15
loop_
_symmetry_equiv_pos_as_xyz
'x,y,z'
'-x,-y,-z'
'-x,y,-z+1/2'
'x,-y,z+1/2'
'x+1/2,y+1/2,z'
'-x+1/2,-y+1/2,-z'
'-x+1/2,y+1/2,-z+1/2'
'x+1/2,-y+1/2,z+1/2'
loop_
_atom_site_label
_atom_site_fract_x
_atom_site_fract_y
_atom_site_fract_z
_atom_site_occupancy
Zn1 0.194 0.044 0.129 1
As1 0.000 0.343 0.750 1
Pb1 0.000 0.255 0.250 1
O1 0.074 0.229 0.980 1
O2 0.111 0.456 0.719 1
O3 0.156 0.082 0.377 1
# **Formation energy (no corrections)**: -1.15 eV/atom



# ZnAs2PbO6 (PBE, optimized geometry)
data_ZnAs2PbO6
_chemical_formula_sum 'Zn3 As6 Pb3 O18'
_cell_length_a 5.5302
_cell_length_b 5.5302
_cell_length_c 16.6467
_cell_angle_alpha 90.00
_cell_angle_beta 90.00
_cell_angle_gamma 120.00
_symmetry_space_group_name_H-M 'R -3'
_symmetry_Int_Tables_number 148
_symmetry_space_group_name_Hall '-R 3'
loop_
_atom_site_label
_atom_site_fract_x
_atom_site_fract_y
_atom_site_fract_z
_atom_site_occupancy
Zn1 0.0000 0.0000 0.0000 1
As1 0.0000 0.0000 0.2314 1
Pb1 0.0000 0.0000 0.5000 1
O1 0.0114 0.3870 0.4044 1
# **Formation energy (no corrections)**: -1.00 eV/atom



# ZnAs2PbO8 (PBE, optimized geometry)
data_ZnAs2PbO8
_chemical_formula_sum 'Zn1 As2 Pb1 O8'
_cell_length_a 5.2628
_cell_length_b 5.2628
_cell_length_c 7.2109
_cell_angle_alpha 90.00
_cell_angle_beta 90.00
_cell_angle_gamma 120.00
_symmetry_space_group_name_H-M 'P -3'
_symmetry_Int_Tables_number 147
loop_
_symmetry_equiv_pos_as_xyz
'x,y,z'
'-x,-y,-z'
'-y,x-y,z'
'y,-x+y,-z'
'-x+y,-x,z'
'x-y,x,-z'
loop_
_atom_site_label
_atom_site_fract_x
_atom_site_fract_y
_atom_site_fract_z
_atom_site_occupancy
Zn1 0.0000 0.0000 0.0000 1
As1 0.3333 0.6667 0.2333 1
Pb1 0.0000 0.0000 0.5000 1
O1 0.0492 0.3223 0.1792 1
O2 0.3333 0.6667 0.4746 1
# **Formation energy (no corrections)**: -0.94 eV/atom



no.,E_tot (eV for the cell shown),theoretical density (g/cm³)
1,-78.443,4.6
2,-392.108,7.3
3,-137.183,6.6
4,-208.779,5.4
5,-162.108,5.9
6,-65.269,5.3